DFT (PBE) results for a relaxed AlCr2CuTc crystal.

Lattice parameters (Å, degrees): 4.6306 4.6306 4.4867 90.00 90.00 90.00
Closest atoms and distances in Å follow each position.
Atoms (fractional coordinates):
Al 0.0000 0.0000 0.0000  2 Tc 2.24, 4 Cr 2.32
Cr 0.0000 0.5000 0.0000  2 Al 2.32
Cr 0.5000 0.0000 0.0000  2 Al 2.32
Cu 0.5000 0.5000 0.5000  8 Cr 3.22, 4 Tc 3.27
Tc 0.0000 0.0000 0.5000  2 Al 2.24

## Properties
calculated formation energy = 1.510 eV/atom
size of the total moment = 6.5 μB/f.u.
calculated volume = 96.20 Å³/f.u.